PmNpPt6 | Alexandria via LeMat-Bulk | PBE | relaxed; total moment = 0.306 μB/atom; raw total energy = -7.26 eV per atom; energy relative to the elements = -12.06 kcal/mol of atoms; N(E_F) = 10.1 states/eV per cell
1.0
-4.115 2.131 -2.639
0.040 -4.119 -3.387
-3.392 -2.633 3.162
Pt Np Pm
6 1 1
Direct
0.247 0.000 0.500
0.500 0.753 0.000
0.753 0.000 0.500
0.000 0.500 0.753
0.000 0.500 0.247
0.500 0.247 0.000
0.000 0.000 0.000
0.500 0.500 0.500

=====

PmNpPt10 | Alexandria via LeMat-Bulk | PBE | relaxed; total moment = 0.297 μB/atom; raw total energy = -7.08 eV per atom; energy relative to the elements = -13.14 kcal/mol of atoms; N(E_F) = 19.6 states/eV per cell
1.0
4.448 0.000 0.000
0.000 5.388 0.000
0.000 0.000 9.310
Pt Np Pm
10 1 1
Direct
0.500 0.000 0.500
0.000 0.000 0.665
0.000 0.000 0.335
0.000 0.500 0.170
0.500 0.500 0.000
0.500 0.749 0.251
0.000 0.500 0.830
0.500 0.749 0.749
0.500 0.251 0.749
0.500 0.251 0.251
0.000 0.500 0.500
0.000 0.000 0.000

=====

PmNpPtRh | Alexandria via LeMat-Bulk | PBE | relaxed; total moment = 1.049 μB/atom; raw total energy = -8.31 eV per atom; energy relative to the elements = -12.45 kcal/mol of atoms; N(E_F) = 9.4 states/eV per cell
1.0
-1.876 3.754 -2.634
-4.136 -0.656 -2.648
-4.224 2.160 1.427
Pm Np Rh Pt
1 1 1 1
Direct
0.500 0.500 0.500
0.000 0.000 0.000
0.250 0.250 0.250
0.750 0.750 0.750

=====

PmNpSbPt | Alexandria via LeMat-Bulk | PBE | relaxed; total moment = 1.247 μB/atom; raw total energy = -7.47 eV per atom; formation energy from raw total energies = -197 kJ/mol of formula units; N(E_F) = 8.3 states/eV per cell
1.0
5.218 0.000 0.000
2.609 4.519 0.000
2.609 1.506 4.260
Pt Np Pm Sb
1 1 1 1
Direct
0.250 0.250 0.250
0.500 0.500 0.500
0.000 0.000 0.000
0.750 0.750 0.750

=====

Pm2NpSi4Pt3 | Alexandria via LeMat-Bulk | PBE | relaxed; total moment = 0.383 μB/atom; raw total energy = -7.02 eV per atom; formation energy from raw total energies = -763 kJ/mol of formula units; N(E_F) = 9.4 states/eV per cell
1.0
4.243 0.000 0.000
0.000 4.243 0.000
0.000 0.000 10.953
Pt Si Pm Np
3 4 2 1
Direct
0.500 0.000 0.891
0.000 0.000 0.500
0.000 0.500 0.109
0.500 0.500 0.000
0.500 0.000 0.671
0.000 0.000 0.000
0.000 0.500 0.329
0.500 0.000 0.231
0.000 0.500 0.769
0.500 0.500 0.500

=====

PmNp2Si2Pt7 | Alexandria via LeMat-Bulk | PBE | relaxed; total moment = 0.684 μB/atom; raw total energy = -7.77 eV per atom; formation energy from raw total energies = -909 kJ/mol of formula units; N(E_F) = 22.3 states/eV per cell
1.0
4.069 0.025 -0.086
0.030 4.069 -0.086
1.710 1.708 13.715
Si Pt Np Pm
2 7 2 1
Direct
0.407 0.407 0.256
0.593 0.593 0.744
0.441 0.940 0.164
0.631 0.631 0.573
0.060 0.559 0.836
0.369 0.369 0.427
0.940 0.441 0.164
0.559 0.060 0.836
0.500 0.500 0.000
0.115 0.115 0.639
0.885 0.885 0.361
0.000 0.000 0.000

=====

PmNpSnPt | Alexandria via LeMat-Bulk | PBE | relaxed; total moment = 1.437 μB/atom; raw total energy = -6.99 eV per atom; energy relative to the elements = -1.41 kcal/mol of atoms; N(E_F) = 14.0 states/eV per cell
1.0
5.107 0.000 0.000
2.554 4.423 0.000
2.554 1.474 4.170
Pt Np Sn Pm
1 1 1 1
Direct
0.000 0.000 0.000
0.500 0.500 0.500
0.250 0.250 0.250
0.750 0.750 0.750

=====

Pm2PuNpS4 | Alexandria via LeMat-Bulk | PBE | relaxed; total moment = 1.237 μB/atom; raw total energy = -8.47 eV per atom; formation energy from raw total energies = -1400 kJ/mol of formula units; N(E_F) = 14.6 states/eV per cell
1.0
3.975 0.000 0.000
0.000 6.893 0.123
0.000 -2.405 6.473
S Pm Pu Np
4 2 1 1
Direct
0.000 0.252 0.759
0.500 0.754 0.760
0.500 0.246 0.240
0.000 0.748 0.241
0.000 0.500 0.500
0.500 0.000 0.500
0.500 0.500 0.000
0.000 0.000 0.000

=====

PmPuNp2S4 | Alexandria via LeMat-Bulk | PBE | relaxed; total moment = 0.689 μB/atom; raw total energy = -9.29 eV per atom; formation energy from raw total energies = -1238 kJ/mol of formula units; N(E_F) = 27.8 states/eV per cell
1.0
3.953 0.000 0.000
0.000 6.843 0.098
0.000 -2.410 6.429
Pm Np S Pu
1 2 4 1
Direct
0.000 0.000 0.000
0.000 0.500 0.500
0.500 0.000 0.500
0.000 0.750 0.254
0.000 0.250 0.746
0.500 0.256 0.257
0.500 0.744 0.743
0.500 0.500 0.000

=====

Pm2Pu3NpS6 | Alexandria via LeMat-Bulk | PBE | relaxed; total moment = 0.813 μB/atom; raw total energy = -9.31 eV per atom; formation energy from raw total energies = -2076 kJ/mol of formula units; N(E_F) = 32.1 states/eV per cell
1.0
-3.872 -0.845 0.127
1.092 -3.982 6.805
0.269 8.470 2.621
S Pu Pm Np
6 3 2 1
Direct
0.334 0.411 0.668
0.998 0.247 0.995
0.666 0.589 0.332
0.002 0.753 0.005
0.334 0.923 0.668
0.666 0.077 0.332
0.167 0.835 0.334
0.833 0.165 0.666
0.500 0.500 0.000
0.165 0.335 0.330
0.835 0.665 0.670
0.500 0.000 0.000